Crystalline Ba3Mg2Cd at its relaxed geometry, computed with PBE.

a b c (Å): 4.3265 4.3265 12.9752
angles (deg): 90.00 90.00 90.00
With the nearest neighbours (Å) after each atom.
Space group P4/mmm (No. 123)
Unique sites:
Ba (0.0000, 0.0000, 0.0000) [1 per cell]  8 Mg 3.76
Ba (0.0000, 0.0000, 0.3401) [2 per cell]  4 Cd 3.70, 4 Mg 3.78
Mg (0.5000, 0.5000, 0.1686) [2 per cell]  8 Ba 3.76-3.78
Cd (0.5000, 0.5000, 0.5000) [1 per cell]  8 Ba 3.70

Output
E_form = -146 meV per atom
M_tot = 0.000 μB per atom
ρ = 3.92 g cm⁻³



Crystalline NaGe4Pt at its relaxed geometry, computed with PBE.

a b c (Å): 6.9824 4.5955 8.5283
angles (deg): 90.00 116.89 90.00
With the nearest neighbours (Å) after each atom.
Space group P2/c (No. 13)
Unique sites:
Na (0.0000, 0.0020, 0.2500) [2 per cell]  6 Ge 2.92-3.16
Ge (0.2274, 0.4991, 0.6429) [4 per cell]  2 Ge 2.64-2.65, 2 Pt 2.68-2.77
Ge (0.3785, 0.0005, 0.0919) [4 per cell]  3 Ge 2.45-2.65, 2 Pt 2.68-2.69
Pt (0.5000, 0.5000, 0.0000) [2 per cell]  8 Ge 2.68-2.77

Output
E_form = -78 meV per atom
M_tot = 0.000 μB per atom
ρ = 6.92 g cm⁻³



Crystalline As2WSe at its relaxed geometry, computed with PBE.

a b c (Å): 3.1601 4.1883 13.0398
angles (deg): 90.00 90.00 90.00
With the nearest neighbours (Å) after each atom.
Space group Imm2 (No. 44)
Unique sites:
As (0.0000, 0.0000, 0.0000) [2 per cell]  2 As 2.61, 4 W 2.72
As (0.0000, 0.5000, 0.1189) [2 per cell]  2 As 2.61, 2 W 2.76
W (0.0000, 0.0000, 0.4456) [2 per cell]  2 Se 2.50, 6 As 2.72-2.76
Se (0.0000, 0.5000, 0.7968) [2 per cell]  2 W 2.50

Output
ΔE_f (raw) = 0.2378 eV/atom
M_tot = 0.000 μB per atom
ρ = 7.94 g cm⁻³